VASP calculation (GGA+U) on crystalline TmGaFeO4 at its relaxed geometry.

For the total magnetization, the calculation gives 4.01 μB per formula unit. The space group is Imma. The value obtained for the uncorrected energy is -7.037 eV per atom.

abc: 6.1289 6.2335 6.2335
angles: 61.97 60.55 60.55
Site moments in Bohr magnetons follow the coordinates.
Fractional positions:
Tm (0.0000, 0.0000, 0.0000)  -0.01
Tm (0.0000, 0.5000, 0.5000)  -0.01
Ga (0.6258, 0.6242, 0.1242)  0.01
Ga (0.3742, 0.3758, 0.8758)  0.01
Fe (0.5000, 0.0000, 0.5000)  3.76
Fe (0.0000, 0.0000, 0.5000)  3.76
O (0.7454, 0.7547, 0.7546)  0.06
O (0.2546, 0.7454, 0.7453)  0.06
O (0.7454, 0.2546, 0.2547)  0.06
O (0.2546, 0.2453, 0.2454)  0.06
O (0.2474, 0.7521, 0.2521)  0.03
O (0.7485, 0.7521, 0.2521)  0.03
O (0.2515, 0.2479, 0.7479)  0.03
O (0.7526, 0.2479, 0.7479)  0.03